# Pr2Al3Zn5 PBE-GGA relaxed
# **SG**: Ibam, No. 72
data_Pr2Al3Zn5
_cell_length_a 6.065
_cell_length_b 8.634
_cell_length_c 8.634
_cell_angle_alpha 76.57
_cell_angle_beta 69.44
_cell_angle_gamma 69.44
_symmetry_space_group_name_H-M 'P 1'
_symmetry_Int_Tables_number 1
_symmetry_space_group_name_Hall 'P 1'
loop_
_atom_site_label
_atom_site_type_symbol
_atom_site_fract_x
_atom_site_fract_y
_atom_site_fract_z
Pr1 Pr 0.125 0.621 0.130
Pr2 Pr 0.625 0.130 0.621
Pr3 Pr 0.875 0.379 0.870
Pr4 Pr 0.375 0.870 0.379
Al1 Al 0.371 0.500 0.758
Al2 Al 0.871 0.758 0.500
Al3 Al 0.629 0.500 0.242
Al4 Al 0.129 0.242 0.500
Al5 Al 0.250 0.000 0.000
Al6 Al 0.750 0.000 0.000
Zn1 Zn 0.376 0.262 0.985
Zn2 Zn 0.876 0.985 0.262
Zn3 Zn 0.624 0.738 0.015
Zn4 Zn 0.124 0.015 0.738
Zn5 Zn 0.491 0.759 0.759
Zn6 Zn 0.509 0.241 0.241
Zn7 Zn 0.750 0.500 0.500
Zn8 Zn 0.250 0.500 0.500
Zn9 Zn 0.009 0.241 0.241
Zn10 Zn 0.991 0.759 0.759

# PrAlZn2 PBE-GGA relaxed
# **SG**: R-3m, No. 166
data_PrAlZn2
_cell_length_a 4.359
_cell_length_b 4.359
_cell_length_c 5.737
_cell_angle_alpha 67.67
_cell_angle_beta 67.67
_cell_angle_gamma 60.00
_symmetry_space_group_name_H-M 'P 1'
_symmetry_Int_Tables_number 1
_symmetry_space_group_name_Hall 'P 1'
loop_
_atom_site_label
_atom_site_type_symbol
_atom_site_fract_x
_atom_site_fract_y
_atom_site_fract_z
Pr1 Pr 0.000 0.000 0.000
Zn1 Zn 0.787 0.787 0.638
Zn2 Zn 0.213 0.213 0.362
Al1 Al 0.500 0.500 0.500

# Pr3Al9Zn2 PBE-GGA relaxed
# **SG**: Immm, No. 71
data_Pr3Al9Zn2
_cell_length_a 4.371
_cell_length_b 8.465
_cell_length_c 8.465
_cell_angle_alpha 74.26
_cell_angle_beta 75.04
_cell_angle_gamma 75.04
_symmetry_space_group_name_H-M 'P 1'
_symmetry_Int_Tables_number 1
_symmetry_space_group_name_Hall 'P 1'
loop_
_atom_site_label
_atom_site_type_symbol
_atom_site_fract_x
_atom_site_fract_y
_atom_site_fract_z
Pr1 Pr 0.000 0.000 0.000
Pr2 Pr 0.682 0.318 0.318
Pr3 Pr 0.318 0.682 0.682
Al1 Al 0.000 0.500 0.500
Al2 Al 0.663 0.967 0.707
Al3 Al 0.337 0.033 0.293
Al4 Al 0.663 0.707 0.967
Al5 Al 0.337 0.293 0.033
Al6 Al 0.865 0.859 0.411
Al7 Al 0.135 0.141 0.589
Al8 Al 0.865 0.411 0.859
Al9 Al 0.135 0.589 0.141
Zn1 Zn 0.500 0.282 0.718
Zn2 Zn 0.500 0.718 0.282

# Pr3AlZn PBE-GGA relaxed
# **SG**: Cmcm, No. 63
data_Pr3AlZn
_cell_length_a 5.330
_cell_length_b 5.334
_cell_length_c 10.322
_cell_angle_alpha 90.00
_cell_angle_beta 75.04
_cell_angle_gamma 90.00
_symmetry_space_group_name_H-M 'P 1'
_symmetry_Int_Tables_number 1
_symmetry_space_group_name_Hall 'P 1'
loop_
_atom_site_label
_atom_site_type_symbol
_atom_site_fract_x
_atom_site_fract_y
_atom_site_fract_z
Pr1 Pr 0.754 0.250 0.141
Pr2 Pr 0.389 0.250 0.871
Pr3 Pr 0.572 0.250 0.505
Pr4 Pr 0.260 0.750 0.129
Pr5 Pr 0.895 0.750 0.859
Pr6 Pr 0.076 0.750 0.495
Al1 Al 0.482 0.750 0.684
Al2 Al 0.166 0.250 0.316
Zn1 Zn 0.667 0.750 0.315
Zn2 Zn 0.981 0.250 0.685

# Pr2Al5Zn PBE-GGA relaxed
# **SG**: I4mm, No. 107
data_Pr2Al5Zn
_cell_length_a 6.212
_cell_length_b 6.212
_cell_length_c 6.212
_cell_angle_alpha 89.89
_cell_angle_beta 120.07
_cell_angle_gamma 120.07
_symmetry_space_group_name_H-M 'P 1'
_symmetry_Int_Tables_number 1
_symmetry_space_group_name_Hall 'P 1'
loop_
_atom_site_label
_atom_site_type_symbol
_atom_site_fract_x
_atom_site_fract_y
_atom_site_fract_z
Pr1 Pr 0.500 0.277 0.777
Pr2 Pr 0.500 0.777 0.277
Al1 Al 0.496 0.775 0.775
Al2 Al 0.000 0.775 0.279
Al3 Al 0.000 0.279 0.775
Al4 Al 0.504 0.279 0.279
Al5 Al 0.000 0.273 0.273
Zn1 Zn 0.000 0.789 0.789

# PrAlZn2 PBE-GGA relaxed
# **SG**: P4/mmm, No. 123
data_PrAlZn2
_cell_length_a 4.222
_cell_length_b 4.483
_cell_length_c 4.483
_cell_angle_alpha 90.00
_cell_angle_beta 90.00
_cell_angle_gamma 90.00
_symmetry_space_group_name_H-M 'P 1'
_symmetry_Int_Tables_number 1
_symmetry_space_group_name_Hall 'P 1'
loop_
_atom_site_label
_atom_site_type_symbol
_atom_site_fract_x
_atom_site_fract_y
_atom_site_fract_z
Pr1 Pr 0.500 0.500 0.500
Zn1 Zn 0.000 0.000 0.500
Zn2 Zn 0.000 0.500 0.000
Al1 Al 0.500 0.000 0.000

# Pr3AlZn2 PBE-GGA relaxed
# **SG**: P-3m1, No. 164
data_Pr3AlZn2
_cell_length_a 5.281
_cell_length_b 5.281
_cell_length_c 12.917
_cell_angle_alpha 90.00
_cell_angle_beta 90.00
_cell_angle_gamma 120.00
_symmetry_space_group_name_H-M 'P 1'
_symmetry_Int_Tables_number 1
_symmetry_space_group_name_Hall 'P 1'
loop_
_atom_site_label
_atom_site_type_symbol
_atom_site_fract_x
_atom_site_fract_y
_atom_site_fract_z
Pr1 Pr 0.333 0.667 0.417
Pr2 Pr 0.667 0.333 0.081
Pr3 Pr 0.000 0.000 0.752
Pr4 Pr 0.000 0.000 0.248
Pr5 Pr 0.333 0.667 0.919
Pr6 Pr 0.667 0.333 0.583
Al1 Al 0.333 0.667 0.668
Al2 Al 0.667 0.333 0.332
Zn1 Zn 0.000 0.000 0.500
Zn2 Zn 0.333 0.667 0.169
Zn3 Zn 0.667 0.333 0.831
Zn4 Zn 0.000 0.000 0.000

# PrZrAlZn PBE-GGA relaxed
# **SG**: F-43m, No. 216
data_PrZrAlZn
_cell_length_a 5.018
_cell_length_b 5.018
_cell_length_c 5.018
_cell_angle_alpha 60.00
_cell_angle_beta 60.00
_cell_angle_gamma 60.00
_symmetry_space_group_name_H-M 'P 1'
_symmetry_Int_Tables_number 1
_symmetry_space_group_name_Hall 'P 1'
loop_
_atom_site_label
_atom_site_type_symbol
_atom_site_fract_x
_atom_site_fract_y
_atom_site_fract_z
Pr1 Pr 0.750 0.750 0.750
Zn1 Zn 0.000 0.000 0.000
Al1 Al 0.500 0.500 0.500
Zr1 Zr 0.250 0.250 0.250

no.,density of states at the Fermi level (states/eV per cell),formation energy from the elements (eV per atom),density (g/cm3)
1,7.5,-0.39,5.826
2,2.4,-0.31,5.846
3,3.3,-0.39,4.636
4,10.6,-0.24,6.034
5,3.5,-0.33,4.727
6,1.7,-0.22,5.847
7,13.0,-0.31,6.180
8,1.4,-0.23,6.033